Version one
Here is a geometry-optimized BaLi2Zr structure from the Alexandria database. Energies are from PBE.

Values from the calculation:
The calculation puts the density of states at the Fermi level at 4.2 states/eV/f.u. The total moment comes out at 4.421 Bohr magnetons per cell.

Cell lengths 8.400, 8.400, 6.457 Å; angles 90.00, 90.00, 90.00 degrees
Space group I-42d (No. 122)
Inequivalent atoms, fractional coordinates:
1 Ba 0.000 0.000 0.000 x4
2 Li 0.226 0.750 0.625 x8
3 Zr 0.000 0.000 0.500 x4

=====

Version two
Here is a geometry-optimized BaLi2Zr structure from the Alexandria database. Energies are from PBE.

Values from the calculation:
The calculation puts the density of states at the Fermi level at 4.9 states/eV/f.u. The total moment comes out at 0.000 Bohr magnetons per cell.

Cell lengths 3.208, 5.262, 6.684 Å; angles 90.00, 103.75, 90.00 degrees
Space group Pm (No. 6)
Inequivalent atoms, fractional coordinates:
1 Ba 0.000 0.000 0.000 x1
2 Li 0.630 0.500 0.254 x1
3 Li 0.759 0.000 0.503 x1
4 Zr 0.342 0.500 0.678 x1

=====

Which of them is the least stable? Correct choice: version one.

=====

Version one
Here is a geometry-optimized BaLi2Zr structure from the Alexandria database. Energies are from PBE.

Values from the calculation:
The calculation puts the density of states at the Fermi level at 5.5 states/eV/f.u. The total moment comes out at 0.696 Bohr magnetons per cell.

Cell lengths 3.650, 3.650, 8.204 Å; angles 90.00, 90.00, 90.00 degrees
Space group P4/mmm (No. 123)
Inequivalent atoms, fractional coordinates:
1 Ba 0.000 0.000 0.000 x1
2 Li 0.500 0.500 0.306 x2
3 Zr 0.000 0.000 0.500 x1

=====

Version two
Here is a geometry-optimized BaLi2Zr structure from the Alexandria database. Energies are from PBE.

Values from the calculation:
The calculation puts the density of states at the Fermi level at 6.3 states/eV/f.u. The total moment comes out at 0.036 Bohr magnetons per cell.

Cell lengths 3.3701, 3.3701, 33.1596 Å; angles 90.00, 90.00, 120.00 degrees
Space group R-3m (No. 166, hexagonal axes)
Inequivalent atoms, fractional coordinates:
1 Ba 0.0000 0.0000 0.0000 x3
2 Li 0.0000 0.0000 0.2407 x6
3 Zr 0.0000 0.0000 0.5000 x3

=====

Which of them is the least stable? Correct choice: version two.

=====

Version one
Here is a geometry-optimized BaLi2Zr structure from the Alexandria database. Energies are from PBE.

Values from the calculation:
The calculation puts the density of states at the Fermi level at 4.1 states/eV/f.u. The total moment comes out at 0.000 Bohr magnetons per cell.

Cell lengths 3.267, 4.689, 7.090 Å; angles 90.00, 90.13, 90.00 degrees
Space group P2/m (No. 10)
Inequivalent atoms, fractional coordinates:
1 Ba 0.000 0.000 0.000 x1
2 Li 0.499 0.500 0.311 x2
3 Zr 0.000 0.000 0.500 x1

=====

Version two
Here is a geometry-optimized BaLi2Zr structure from the Alexandria database. Energies are from PBE.

Values from the calculation:
The calculation puts the density of states at the Fermi level at 4.4 states/eV/f.u. The total moment comes out at 2.884 Bohr magnetons per cell.

Cell lengths 11.904, 3.333, 5.793 Å; angles 90.00, 110.88, 90.00 degrees
Space group Cm (No. 8)
Inequivalent atoms, fractional coordinates:
1 Ba 0.000 0.000 0.000 x2
2 Li 0.263 0.500 0.181 x2
3 Li 0.453 0.000 0.480 x2
4 Zr 0.207 0.000 0.625 x2

=====

Version three
Here is a geometry-optimized BaLi2Zr structure from the Alexandria database. Energies are from PBE.

Values from the calculation:
The calculation puts the density of states at the Fermi level at 5.4 states/eV/f.u. The total moment comes out at 0.007 Bohr magnetons per cell.

Cell lengths 3.550, 5.679, 11.205 Å; angles 90.00, 90.00, 90.00 degrees
Space group Immm (No. 71)
Inequivalent atoms, fractional coordinates:
1 Ba 0.000 0.000 0.000 x2
2 Li 0.000 0.500 0.231 x4
3 Zr 0.000 0.000 0.500 x2

=====

Which of them is the least stable? Correct choice: version three.

=====

Version one
Here is a geometry-optimized Ba2LiZr structure from the Alexandria database. Energies are from PBE.

Values from the calculation:
The calculation puts the density of states at the Fermi level at 6.8 states/eV/f.u. The total moment comes out at 0.341 Bohr magnetons per cell.

Cell lengths 11.536, 3.568, 7.087 Å; angles 90.00, 97.26, 90.00 degrees
Space group C2/m (No. 12)
Inequivalent atoms, fractional coordinates:
1 Ba 0.249 0.000 0.244 x4
2 Li 0.000 0.000 0.500 x2
3 Zr 0.000 0.500 0.000 x2

=====

Version two
Here is a geometry-optimized Ba2LiZr structure from the Alexandria database. Energies are from PBE.

Values from the calculation:
The calculation puts the density of states at the Fermi level at 5.8 states/eV/f.u. The total moment comes out at 1.182 Bohr magnetons per cell.

Cell lengths 3.7270, 3.7270, 36.0108 Å; angles 90.00, 90.00, 120.00 degrees
Space group R3m (No. 160, hexagonal axes)
Inequivalent atoms, fractional coordinates:
1 Ba 0.0000 0.0000 0.0000 x3
2 Ba 0.0000 0.0000 0.2273 x3
3 Li 0.0000 0.0000 0.7499 x3
4 Zr 0.0000 0.0000 0.4797 x3

=====

Version three
Here is a geometry-optimized Ba2LiZr structure from the Alexandria database. Energies are from PBE.

Values from the calculation:
The calculation puts the density of states at the Fermi level at 6.6 states/eV/f.u. The total moment comes out at 7.459 Bohr magnetons per cell.

Cell lengths 4.956, 4.956, 23.836 Å; angles 90.00, 90.00, 90.00 degrees
Space group I-42d (No. 122)
Inequivalent atoms, fractional coordinates:
1 Ba 0.245 0.250 0.125 x8
2 Li 0.000 0.000 0.000 x4
3 Zr 0.000 0.000 0.500 x4

=====

Version four
Here is a geometry-optimized Ba2LiZr structure from the Alexandria database. Energies are from PBE.

Values from the calculation:
The calculation puts the density of states at the Fermi level at 5.6 states/eV/f.u. The total moment comes out at 0.366 Bohr magnetons per cell.

Cell lengths 8.774, 8.808, 3.787 Å; angles 90.00, 90.00, 90.00 degrees
Space group Cmmm (No. 65)
Inequivalent atoms, fractional coordinates:
1 Ba 0.250 0.250 0.000 x4
2 Li 0.000 0.000 0.500 x2
3 Zr 0.000 0.500 0.500 x2

=====

Which of them is the least stable? Correct choice: version three.

=====

Version one
Here is a geometry-optimized BaLiZr structure from the Alexandria database. Energies are from PBE.

Values from the calculation:
The calculation puts the density of states at the Fermi level at 4.0 states/eV/f.u. The total moment comes out at 0.000 Bohr magnetons per cell.

Cell lengths 3.669, 3.669, 13.061 Å; angles 90.00, 90.00, 90.00 degrees
Space group I4mm (No. 107)
Inequivalent atoms, fractional coordinates:
1 Ba 0.000 0.000 0.000 x2
2 Li 0.000 0.000 0.319 x2
3 Zr 0.000 0.000 0.707 x2

=====

Version two
Here is a geometry-optimized BaLiZr structure from the Alexandria database. Energies are from PBE.

Values from the calculation:
The calculation puts the density of states at the Fermi level at 3.8 states/eV/f.u. The total moment comes out at 0.001 Bohr magnetons per cell.

Cell lengths 3.4570, 3.4570, 8.6293 Å; angles 90.00, 90.00, 120.00 degrees
Space group P3m1 (No. 156)
Inequivalent atoms, fractional coordinates:
1 Ba 0.0000 0.0000 0.0000 x1
2 Li 0.6667 0.3333 0.3631 x1
3 Zr 0.3333 0.6667 0.6467 x1

=====

Version three
Here is a geometry-optimized BaLiZr structure from the Alexandria database. Energies are from PBE.

Values from the calculation:
The calculation puts the density of states at the Fermi level at 3.9 states/eV/f.u. The total moment comes out at 11.215 Bohr magnetons per cell.

Cell lengths 7.518, 7.518, 7.518 Å; angles 90.00, 90.00, 90.00 degrees
Space group F-43m (No. 216)
Inequivalent atoms, fractional coordinates:
1 Ba 0.000 0.000 0.000 x4
2 Li 0.250 0.250 0.250 x4
3 Zr 0.000 0.000 0.500 x4

=====

Which of them is the least stable? Correct choice: version three.

=====

Version one
Here is a geometry-optimized Ba2LiZr2 structure from the Alexandria database. Energies are from PBE.

Values from the calculation:
The calculation puts the density of states at the Fermi level at 7.3 states/eV/f.u. The total moment comes out at 0.000 Bohr magnetons per cell.

Cell lengths 10.239, 10.239, 3.448 Å; angles 90.00, 90.00, 90.00 degrees
Space group P4/mbm (No. 127)
Inequivalent atoms, fractional coordinates:
1 Ba 0.198 0.302 0.000 x4
2 Li 0.000 0.000 0.000 x2
3 Zr 0.096 0.596 0.500 x4

=====

Version two
Here is a geometry-optimized Ba2LiZr2 structure from the Alexandria database. Energies are from PBE.

Values from the calculation:
The calculation puts the density of states at the Fermi level at 4.6 states/eV/f.u. The total moment comes out at 0.000 Bohr magnetons per cell.

Cell lengths 4.077, 4.077, 23.087 Å; angles 90.00, 90.00, 90.00 degrees
Space group I4/mmm (No. 139)
Inequivalent atoms, fractional coordinates:
1 Ba 0.000 0.000 0.106 x4
2 Li 0.000 0.000 0.500 x2
3 Zr 0.000 0.500 0.250 x4

=====

Which of them is the least stable? Correct choice: version one.